1.
Density functional theory data (PBE) for crystalline In2BiBr8 at its relaxed geometry.

Unit cell a=7.828 b=8.279 c=8.279 alpha=69.65 beta=87.16 gamma=87.16
Positions (direct):
Br: 0.360 0.845 0.845
Br: 0.171 0.911 0.327
Br: 0.171 0.327 0.911
Br: 0.829 0.673 0.089
Br: 0.829 0.089 0.673
Br: 0.640 0.155 0.155
Br: 0.756 0.611 0.611
Br: 0.244 0.389 0.389
In: 0.325 0.209 0.209
In: 0.675 0.791 0.791
Bi: 0.000 0.000 0.000

Space-group type: C2/m (12)
ΔE_f (raw) in eV per atom: -0.68


2.
Density functional theory data (PBE) for crystalline KSi4Rh at its relaxed geometry.

Unit cell a=5.263 b=5.263 c=5.263 alpha=60.00 beta=60.00 gamma=60.00
Positions (direct):
Si: 0.374 0.374 0.879
Si: 0.879 0.374 0.374
Si: 0.374 0.879 0.374
Si: 0.374 0.374 0.374
Rh: 0.000 0.000 0.000
K: 0.750 0.750 0.750

Space-group type: F-43m (216)
ΔE_f (raw) in eV per atom: 0.52


3.
Density functional theory data (PBE) for crystalline WAuI2 at its relaxed geometry.

Unit cell a=4.995 b=4.995 c=4.995 alpha=60.00 beta=60.00 gamma=60.00
Positions (direct):
I: 0.750 0.750 0.750
I: 0.250 0.250 0.250
Au: 0.500 0.500 0.500
W: 0.000 0.000 0.000

Excess energy over the best structure of this formula in the dataset in eV per atom: 0.528
Space-group type: Fm-3m (225)
ΔE_f (raw) in eV per atom: 1.22


4.
Density functional theory data (PBE) for crystalline Cu2SbAs at its relaxed geometry.

Unit cell a=7.580 b=7.580 c=7.580 alpha=25.49 beta=25.49 gamma=25.49
Positions (direct):
Cu: 0.493 0.493 0.493
Cu: 0.007 0.007 0.007
As: 0.750 0.750 0.750
Sb: 0.250 0.250 0.250

Excess energy over the best structure of this formula in the dataset in eV per atom: 0.096
Space-group type: R-3m (166)
ΔE_f (raw) in eV per atom: 0.17


5.
Density functional theory data (PBE) for crystalline SiSe at its relaxed geometry.

Unit cell a=3.539 b=5.221 c=6.783 alpha=95.87 beta=90.20 gamma=109.58
Positions (direct):
Si: 0.254 0.344 0.841
Si: 0.130 0.093 0.134
Se: 0.462 0.755 0.086
Se: 0.763 0.365 0.622

Space-group type: P1 (1)
ΔE_f (raw) in eV per atom: 0.00


6.
Density functional theory data (PBE) for crystalline NdTiSn2 at its relaxed geometry.

Unit cell a=4.646 b=4.646 c=6.145 alpha=67.79 beta=67.79 gamma=60.00
Positions (direct):
Sn: 0.270 0.270 0.189
Sn: 0.730 0.730 0.811
Ti: 0.000 0.000 0.000
Nd: 0.500 0.500 0.500

Excess energy over the best structure of this formula in the dataset in eV per atom: 0.000
Space-group type: R-3m (166)
Energy of formation from the pure elements in meV/atom: -403


We obtain volume values of 45.65; 17.18; 22.03; 17.75; 29.34; 25.84 A^3/atom for the records listed above, in that order.
We obtain E_tot values of -2.746; -4.504; -3.609; -4.071; -4.455; -5.570 eV/atom for the records listed above, in that order.
We obtain magnetic moment values of 1.0; 0.0; 0.0; 0.0; 0.0; 0.0 μB per formula unit for the records listed above, in that order.